Here is a relaxed structure of Nd2BiO2 from Alexandria. Energies are from GGA-PBEsol.

Results
crystal system	tetragonal
N(E_F)	0.1909	states/eV/atom
spin magnetization	0.00	μB/f.u.
raw formation energy	-2612	meV/atom

Unit cell a=3.9714 b=3.9714 c=7.4593 alpha=105.44 beta=105.44 gamma=90.00
Atoms (fractional coordinates):
Nd 0.6648 0.6648 0.3295
O 0.7500 0.2500 0.5000
Nd 0.3352 0.3352 0.6705
O 0.2500 0.7500 0.5000
Bi 0.0000 0.0000 0.0000

***

Here is a relaxed structure of Al2OsRu from Alexandria. Energies are from GGA-PBEsol.

Results
energy of formation	-0.369	eV/atom
crystal system	orthorhombic
N(E_F)	0.3869	states/eV/atom
spin magnetization	0.00	μB/f.u.

Unit cell a=2.9722 b=4.1061 c=5.1326 alpha=113.58 beta=106.83 gamma=90.00
Atoms (fractional coordinates):
Al 0.9901 0.9901 0.9802
Ru 0.2474 0.7474 0.4949
Al 0.7580 0.2580 0.5160
Os 0.5045 0.5045 0.0090